Record 1
Entry from Alexandria: crystalline Pr5DyCd6 at its relaxed geometry (GGA-PBE).

Space-group type: Cmmm
Crystal system: orthorhombic
VASP energy: -3.147 eV per atom

Cell lengths 8.6238, 8.6238, 7.7557 Å; angles 90.00, 90.00, 143.22 degrees
Sites, in units of the cell vectors:
Pr 0.0000 0.0000 0.0000
Pr 0.3310 0.6690 0.0000
Pr 0.3339 0.6661 0.5000
Pr 0.6661 0.3339 0.5000
Pr 0.6690 0.3310 0.0000
Dy 0.0000 0.0000 0.5000
Cd 0.1627 0.8373 0.2555
Cd 0.1627 0.8373 0.7445
Cd 0.5000 0.5000 0.2573
Cd 0.5000 0.5000 0.7427
Cd 0.8373 0.1627 0.2555
Cd 0.8373 0.1627 0.7445

Record 2
Entry from Alexandria: crystalline PrDy4Cd2 at its relaxed geometry (GGA-PBE).

Space-group type: R-3m
Crystal system: trigonal
VASP energy: -3.367 eV per atom

Cell lengths 10.8515, 10.8515, 10.8515 Å; angles 27.08, 27.08, 27.08 degrees
Sites, in units of the cell vectors:
Pr 0.0000 0.0000 0.0000
Dy 0.2020 0.2020 0.2020
Dy 0.3950 0.3950 0.3950
Dy 0.6050 0.6050 0.6050
Dy 0.7980 0.7980 0.7980
Cd 0.1013 0.1013 0.1013
Cd 0.8987 0.8987 0.8987

no.,volume (Å³/atom)
1,28.8
2,33.4